# 1
# Na2TlAu2

A PBEsol-optimized structure of Na2TlAu2 (SCAN, Alexandria).

Unit cell a=7.339 b=7.339 c=4.267 alpha=90.00 beta=90.00 gamma=90.00
Space group P4/mbm (No. 127)
Inequivalent atoms, fractional coordinates:
Na1 0.166 0.334 0.000 [4 per cell]
Tl1 0.000 0.000 0.500 [2 per cell]
Au1 0.132 0.632 0.500 [4 per cell]

Summary:
magnetization = 0.000 μB/f.u.
ΔH_f (0 K) = -0.329 eV per atom
volume = 229.84 Å³/cell
final energy = -3.2449 Ry per atom
crystal system = tetragonal

***

# 2
# Na4TlAu

A PBEsol-optimized structure of Na4TlAu (SCAN, Alexandria).

Unit cell a=5.471 b=9.830 c=23.120 alpha=90.00 beta=90.00 gamma=90.00
Space group Fmmm (No. 69)
Inequivalent atoms, fractional coordinates:
Na1 0.000 0.000 0.206 [8 per cell]
Na2 0.000 0.164 0.500 [8 per cell]
Na3 0.000 0.167 0.362 [16 per cell]
Tl1 0.000 0.000 0.066 [8 per cell]
Au1 0.250 0.250 0.250 [8 per cell]

Summary:
magnetization = 0.000 μB/f.u.
ΔH_f (0 K) = -0.280 eV per atom
volume = 1243.55 Å³/cell
final energy = -1.9606 Ry per atom
crystal system = orthorhombic

***

# 3
# NaWAu3

A PBEsol-optimized structure of NaWAu3 (SCAN, Alexandria).

Unit cell a=5.024 b=5.024 c=5.024 alpha=90.00 beta=90.00 gamma=90.00
Space group Pm-3m (No. 221)
Inequivalent atoms, fractional coordinates:
Na1 0.000 0.000 0.000 [1 per cell]
W1 0.500 0.500 0.500 [1 per cell]
Au1 0.000 0.500 0.500 [3 per cell]

Summary:
magnetization = 0.000 μB/f.u.
ΔH_f (0 K) = 0.615 eV per atom
volume = 126.82 Å³/cell
final energy = -4.0909 Ry per atom
crystal system = cubic

***

# 4
# NaWAu2

A PBEsol-optimized structure of NaWAu2 (SCAN, Alexandria).

Unit cell a=6.465 b=6.465 c=6.465 alpha=90.00 beta=90.00 gamma=90.00
Space group Fm-3m (No. 225)
Inequivalent atoms, fractional coordinates:
Na1 0.000 0.000 0.000 [4 per cell]
W1 0.000 0.000 0.500 [4 per cell]
Au1 0.250 0.250 0.250 [8 per cell]

Summary:
magnetization = 0.004 μB/f.u.
ΔH_f (0 K) = 0.565 eV per atom
volume = 270.17 Å³/cell
final energy = -3.8579 Ry per atom
crystal system = cubic

***

# 5
# Na2YAu

A PBEsol-optimized structure of Na2YAu (SCAN, Alexandria).

Unit cell a=7.129 b=7.129 c=7.129 alpha=90.00 beta=90.00 gamma=90.00
Space group Fm-3m (No. 225)
Inequivalent atoms, fractional coordinates:
Na1 0.250 0.250 0.250 [8 per cell]
Y1 0.000 0.000 0.000 [4 per cell]
Au1 0.000 0.000 0.500 [4 per cell]

Summary:
magnetization = 0.004 μB/f.u.
ΔH_f (0 K) = 0.038 eV per atom
volume = 362.36 Å³/cell
final energy = -1.9344 Ry per atom
crystal system = cubic

***

# 6
# Na2Zn2Au

A PBEsol-optimized structure of Na2Zn2Au (SCAN, Alexandria).

Unit cell a=6.590 b=6.590 c=4.795 alpha=90.00 beta=90.00 gamma=90.00
Space group P4/mbm (No. 127)
Inequivalent atoms, fractional coordinates:
Na1 0.180 0.320 0.000 [4 per cell]
Zn1 0.135 0.635 0.500 [4 per cell]
Au1 0.000 0.000 0.500 [2 per cell]

Summary:
magnetization = 0.000 μB/f.u.
ΔH_f (0 K) = -0.184 eV per atom
volume = 208.25 Å³/cell
offset from the most stable computed form = 0.000 eV per atom
final energy = -1.5513 Ry per atom
crystal system = tetragonal

***

# 7
# Na2Zn2Au

A PBEsol-optimized structure of Na2Zn2Au (SCAN, Alexandria).

Unit cell a=3.814 b=3.814 c=13.695 alpha=90.00 beta=90.00 gamma=90.00
Space group I4/mmm (No. 139)
Inequivalent atoms, fractional coordinates:
Na1 0.000 0.500 0.250 [4 per cell]
Zn1 0.000 0.000 0.086 [4 per cell]
Au1 0.000 0.000 0.500 [2 per cell]

Summary:
magnetization = 0.000 μB/f.u.
ΔH_f (0 K) = 0.241 eV per atom
volume = 199.18 Å³/cell
offset from the most stable computed form = 0.425 eV per atom
final energy = -1.5201 Ry per atom
crystal system = tetragonal

***

# 8
# Nb3Au

A PBEsol-optimized structure of Nb3Au (SCAN, Alexandria).

Unit cell a=5.186 b=5.186 c=5.186 alpha=90.00 beta=90.00 gamma=90.00
Space group Pm-3n (No. 223)
Inequivalent atoms, fractional coordinates:
Nb1 0.000 0.250 0.500 [6 per cell]
Au1 0.000 0.000 0.000 [2 per cell]

Summary:
magnetization = 0.000 μB/f.u.
ΔH_f (0 K) = -0.232 eV per atom
volume = 139.50 Å³/cell
offset from the most stable computed form = 0.000 eV per atom
final energy = -3.1140 Ry per atom
crystal system = cubic

***

# 9
# NbAu2

A PBEsol-optimized structure of NbAu2 (SCAN, Alexandria).

Unit cell a=4.6236 b=4.6236 c=2.7259 alpha=90.00 beta=90.00 gamma=120.00
Space group P6/mmm (No. 191)
Inequivalent atoms, fractional coordinates:
Nb1 0.0000 0.0000 0.0000 [1 per cell]
Au1 0.3333 0.6667 0.5000 [2 per cell]

Summary:
magnetization = 0.000 μB/f.u.
ΔH_f (0 K) = -0.285 eV per atom
volume = 50.47 Å³/cell
final energy = -4.2212 Ry per atom
crystal system = hexagonal

***

# 10
# Nb3Au2

A PBEsol-optimized structure of Nb3Au2 (SCAN, Alexandria).

Unit cell a=3.380 b=3.380 c=15.145 alpha=90.00 beta=90.00 gamma=90.00
Space group I4/mmm (No. 139)
Inequivalent atoms, fractional coordinates:
Nb1 0.000 0.000 0.000 [2 per cell]
Nb2 0.000 0.000 0.400 [4 per cell]
Au1 0.000 0.000 0.200 [4 per cell]

Summary:
magnetization = 0.000 μB/f.u.
ΔH_f (0 K) = -0.272 eV per atom
volume = 173.04 Å³/cell
final energy = -3.5141 Ry per atom
crystal system = tetragonal

***

# 11
# Nb3Au

A PBEsol-optimized structure of Nb3Au (SCAN, Alexandria).

Unit cell a=3.429 b=4.362 c=9.269 alpha=90.00 beta=90.00 gamma=90.00
Space group Cmmm (No. 65)
Inequivalent atoms, fractional coordinates:
Nb1 0.000 0.000 0.000 [2 per cell]
Nb2 0.000 0.500 0.252 [4 per cell]
Au1 0.000 0.000 0.500 [2 per cell]

Summary:
magnetization = 0.000 μB/f.u.
ΔH_f (0 K) = -0.159 eV per atom
volume = 138.65 Å³/cell
offset from the most stable computed form = 0.073 eV per atom
final energy = -3.1086 Ry per atom
crystal system = orthorhombic

***

# 12
# SrNbNiAu2

A PBEsol-optimized structure of SrNbNiAu2 (SCAN, Alexandria).

Unit cell a=4.919 b=4.919 c=4.433 alpha=90.00 beta=90.00 gamma=90.00
Space group P4/mmm (No. 123)
Inequivalent atoms, fractional coordinates:
Sr1 0.000 0.000 0.000 [1 per cell]
Nb1 0.500 0.500 0.000 [1 per cell]
Ni1 0.500 0.500 0.500 [1 per cell]
Au1 0.000 0.500 0.500 [2 per cell]

Summary:
magnetization = 1.502 μB/f.u.
ΔH_f (0 K) = 0.023 eV per atom
volume = 107.26 Å³/cell
final energy = -3.0837 Ry per atom
crystal system = tetragonal